Record 1
The following is a DFT calculation (PBEsol) of crystalline ScZnIr2 at its relaxed geometry.

E_form = -0.31 eV/atom
magnetization = 0.000 μB/cell
crystal system = trigonal

Structure (POSCAR):
```
ScZnIr2
1.0
2.899 0.000 0.000
1.449 2.510 0.000
1.449 0.837 8.321
Ir Sc Zn
2 1 1
direct
0.749 0.749 0.754
0.251 0.251 0.246
0.500 0.500 0.500
0.000 0.000 0.000
```



Record 2
The following is a DFT calculation (PBEsol) of crystalline ScZnIr3 at its relaxed geometry.

E_form = 0.77 eV/atom
magnetization = 0.001 μB/cell
crystal system = cubic

Structure (POSCAR):
```
ScZnIr3
1.0
4.455 0.000 0.000
0.000 4.455 0.000
0.000 0.000 4.455
Sc Ir Zn
1 3 1
direct
0.500 0.500 0.500
0.000 0.500 0.000
0.500 0.000 0.000
0.000 0.000 0.500
0.000 0.000 0.000
```



Record 3
The following is a DFT calculation (PBEsol) of crystalline ScZn2Ir2 at its relaxed geometry.

E_form = -0.45 eV/atom
magnetization = 0.000 μB/cell
crystal system = tetragonal

Structure (POSCAR):
```
ScZn2Ir2
1.0
2.954 0.000 0.000
0.000 7.083 0.000
0.000 0.000 7.083
Sc Zn Ir
2 4 4
direct
0.000 0.500 0.500
0.000 0.000 0.000
0.000 0.379 0.879
0.000 0.621 0.121
0.000 0.121 0.379
0.000 0.879 0.621
0.500 0.323 0.177
0.500 0.677 0.823
0.500 0.177 0.677
0.500 0.823 0.323
```



Record 4
The following is a DFT calculation (PBEsol) of crystalline Zr2ScIr at its relaxed geometry.

ΔE to the lowest computed polymorph = 0.168 eV/atom
E_form = -0.33 eV/atom
magnetization = 0.009 μB/cell
crystal system = cubic

Structure (POSCAR):
```
Zr2ScIr
1.0
4.712 0.000 0.000
2.356 4.081 0.000
2.356 1.360 3.847
Sc Zr Ir
1 2 1
direct
0.250 0.250 0.250
0.750 0.750 0.750
0.000 0.000 0.000
0.500 0.500 0.500
```



Record 5
The following is a DFT calculation (PBEsol) of crystalline ZrSc2Ir at its relaxed geometry.

ΔE to the lowest computed polymorph = 0.103 eV/atom
E_form = -0.43 eV/atom
magnetization = 0.000 μB/cell
crystal system = tetragonal

Structure (POSCAR):
```
ZrSc2Ir
1.0
3.289 0.000 0.000
0.000 3.289 0.000
0.000 0.000 7.416
Sc Zr Ir
2 1 1
direct
0.500 0.500 0.265
0.000 0.000 0.949
0.000 0.000 0.534
0.500 0.500 0.752
```



Record 6
The following is a DFT calculation (PBEsol) of crystalline ZrScIr2 at its relaxed geometry.

E_form = -0.90 eV/atom
magnetization = 0.000 μB/cell
crystal system = tetragonal

Structure (POSCAR):
```
ZrScIr2
1.0
-0.701 2.062 2.196
2.422 -2.496 3.117
3.850 2.426 -1.050
Ir Sc Zr
2 1 1
direct
0.000 0.500 0.626
0.000 0.000 0.124
0.500 0.000 0.625
0.500 0.500 0.125
```



no.,E (eV per atom)
1,-7.27
2,-6.76
3,-6.33
4,-8.98
5,-8.46
6,-9.74